! MnPN, relaxed, DFT GGA-PBE; values from VASP
! Relative energy among the computed polymorphs: 245 meV/atom
! Uncorrected formation energy: 74 meV/atom
&SYSTEM
  ibrav = 0, nat = 3, ntyp = 3
/
ATOMIC_SPECIES
Mn 54.94 Mn.upf
P 30.97 P.upf
N 14.01 N.upf
CELL_PARAMETERS angstrom
2.6245 0.0000 0.0000
0.0000 2.7641 0.0000
0.0000 0.0000 4.0880
ATOMIC_POSITIONS crystal
Mn 0.0000 0.5000 0.4320
P 0.5000 0.0000 0.7823
N 0.0000 0.0000 0.0789